(1)
Material: HoP2Pd7
Method: DFT, PBE
State: optimized geometry

Output
Energy of formation from the pure elements (meV per atom): -667
Space group: I4/mmm (139)
Mass density (Mg/m³): 9.9

```
data_HoP2Pd7
_space_group_name_H-M_alt 'P 1'
_space_group_IT_number 1
_cell_length_a 4.0425
_cell_length_b 4.0425
_cell_length_c 10.3508
_cell_angle_alpha 101.26
_cell_angle_beta 101.26
_cell_angle_gamma 90.00
loop_
_space_group_symop_operation_xyz
'x,y,z'
loop_
_atom_site_label
_atom_site_fract_x
_atom_site_fract_y
_atom_site_fract_z
Pd1 0.3920 0.8920 0.7840
Pd2 0.7500 0.2500 0.5000
Pd3 0.5000 0.5000 0.0000
Pd4 0.2500 0.7500 0.5000
Pd5 0.6080 0.1080 0.2160
Pd6 0.1080 0.6080 0.2160
Pd7 0.8920 0.3920 0.7840
P1 0.3251 0.3251 0.6503
P2 0.6749 0.6749 0.3497
Ho1 0.0000 0.0000 0.0000
```


(2)
Material: LaDyAgAu
Method: DFT, PBE
State: optimized geometry

Output
Energy of formation from the pure elements (meV per atom): -566
Space group: P4mm (99)
Energy above the lowest structure with this stoichiometry (eV/atom): 0.000
Mass density (Mg/m³): 9.9

```
data_LaDyAgAu
_space_group_name_H-M_alt 'P 1'
_space_group_IT_number 1
_cell_length_a 3.6590
_cell_length_b 3.6590
_cell_length_c 7.5936
_cell_angle_alpha 90.00
_cell_angle_beta 90.00
_cell_angle_gamma 90.00
loop_
_space_group_symop_operation_xyz
'x,y,z'
loop_
_atom_site_label
_atom_site_fract_x
_atom_site_fract_y
_atom_site_fract_z
Au1 0.5000 0.5000 0.1354
Dy1 0.0000 0.0000 0.3502
La1 0.0000 0.0000 0.8625
Ag1 0.5000 0.5000 0.5799
```


(3)
Material: CuSbSe2
Method: DFT, PBE
State: optimized geometry

Output
Space group: Immm (71)
E_tot (eV per atom): -3.775
Mass density (Mg/m³): 6.0

```
data_CuSbSe2
_space_group_name_H-M_alt 'P 1'
_space_group_IT_number 1
_cell_length_a 6.2792
_cell_length_b 6.2792
_cell_length_c 6.2792
_cell_angle_alpha 134.85
_cell_angle_beta 146.98
_cell_angle_gamma 57.06
loop_
_space_group_symop_operation_xyz
'x,y,z'
loop_
_atom_site_label
_atom_site_fract_x
_atom_site_fract_y
_atom_site_fract_z
Sb1 0.2500 0.7500 0.5000
Cu1 0.7500 0.2500 0.5000
Se1 0.0951 0.0951 0.0000
Se2 0.4049 0.4049 0.0000
```


(4)
Material: LaYCd5
Method: DFT, PBE
State: optimized geometry

Output
Energy of formation from the pure elements (meV per atom): -148
Space group: P4/mmm (123)
Mass density (Mg/m³): 6.8

```
data_LaYCd5
_space_group_name_H-M_alt 'P 1'
_space_group_IT_number 1
_cell_length_a 5.2970
_cell_length_b 5.2970
_cell_length_c 6.8459
_cell_angle_alpha 90.00
_cell_angle_beta 90.00
_cell_angle_gamma 90.00
loop_
_space_group_symop_operation_xyz
'x,y,z'
loop_
_atom_site_label
_atom_site_fract_x
_atom_site_fract_y
_atom_site_fract_z
La1 0.0000 0.0000 0.5000
Cd1 0.0000 0.5000 0.7745
Cd2 0.0000 0.5000 0.2255
Cd3 0.5000 0.0000 0.2255
Cd4 0.5000 0.5000 0.5000
Cd5 0.5000 0.0000 0.7745
Y1 0.5000 0.5000 0.0000
```


- What is the mass density in the first record?
  9.9 Mg/m³


- Look up the mass density of the fourth one.
  6.8 Mg/m³